# 1
# MnNbSeBr2, relaxed, DFT PBE
data_MnNbSeBr2
_cell_length_a 5.3315
_cell_length_b 5.3315
_cell_length_c 5.0383
_cell_angle_alpha 90.00
_cell_angle_beta 90.00
_cell_angle_gamma 90.00
_symmetry_space_group_name_H-M 'P 4/m m m'
_symmetry_Int_Tables_number 123
_symmetry_space_group_name_Hall '-P 4 2'
loop_
_atom_site_label
_atom_site_fract_x
_atom_site_fract_y
_atom_site_fract_z
_atom_site_occupancy
Mn1 0.0000 0.0000 0.0000 1
Nb1 0.5000 0.5000 0.5000 1
Se1 0.5000 0.5000 0.0000 1
Br1 0.0000 0.5000 0.5000 1
# **Crystal system**: tetragonal
# **Offset from the most stable computed form**: 0 meV per atom
# **Formation energy without anion corrections**: 132.7 meV per atom

=====

# 2
# Pm6Sn5Hg, relaxed, DFT PBE
data_Pm6Sn5Hg
_cell_length_a 18.5727
_cell_length_b 5.7285
_cell_length_c 6.8849
_cell_angle_alpha 90.00
_cell_angle_beta 111.62
_cell_angle_gamma 90.00
_symmetry_space_group_name_H-M 'C 1 2/m 1'
_symmetry_Int_Tables_number 12
loop_
_symmetry_equiv_pos_as_xyz
'x,y,z'
'-x,-y,-z'
'-x,y,-z'
'x,-y,z'
'x+1/2,y+1/2,z'
'-x+1/2,-y+1/2,-z'
'-x+1/2,y+1/2,-z'
'x+1/2,-y+1/2,z'
loop_
_atom_site_label
_atom_site_fract_x
_atom_site_fract_y
_atom_site_fract_z
_atom_site_occupancy
Pm1 0.9999 0.0000 0.2423 1
Pm2 0.1699 0.5000 0.4163 1
Pm3 0.1699 0.5000 0.9241 1
Sn1 0.0000 0.5000 0.0000 1
Sn2 0.1607 0.0000 0.6603 1
Sn3 0.1680 0.0000 0.1684 1
Hg1 0.0000 0.5000 0.5000 1
# **Crystal system**: monoclinic
# **ΔE_f**: -0.634 eV/atom

=====

# 3
# TcGe3Se, relaxed, DFT PBE
data_TcGe3Se
_cell_length_a 4.9729
_cell_length_b 4.9729
_cell_length_c 4.9729
_cell_angle_alpha 90.00
_cell_angle_beta 90.00
_cell_angle_gamma 90.00
_symmetry_space_group_name_H-M 'P m -3 m'
_symmetry_Int_Tables_number 221
_symmetry_space_group_name_Hall '-P 4 2 3'
loop_
_atom_site_label
_atom_site_fract_x
_atom_site_fract_y
_atom_site_fract_z
_atom_site_occupancy
Tc1 0.0000 0.0000 0.0000 1
Ge1 0.0000 0.5000 0.5000 1
Se1 0.5000 0.5000 0.5000 1
# **Crystal system**: cubic
# **Offset from the most stable computed form**: 1134 meV per atom
# **Formation energy without anion corrections**: 1334.5 meV per atom

=====

# 4
# Sm4Zn2Os, relaxed, DFT PBE
data_Sm4Zn2Os
_cell_length_a 5.0573
_cell_length_b 5.0573
_cell_length_c 24.5752
_cell_angle_alpha 90.00
_cell_angle_beta 90.00
_cell_angle_gamma 120.00
_symmetry_space_group_name_H-M 'R -3 m'
_symmetry_Int_Tables_number 166
_symmetry_space_group_name_Hall '-R 3 2"'
loop_
_atom_site_label
_atom_site_fract_x
_atom_site_fract_y
_atom_site_fract_z
_atom_site_occupancy
Sm1 0.0000 0.0000 0.1213 1
Sm2 0.0000 0.0000 0.3731 1
Zn1 0.0000 0.0000 0.2479 1
Os1 0.0000 0.0000 0.0000 1
# **Crystal system**: trigonal
# **ΔE_f**: -0.122 eV/atom

=====

# 5
# Mg2Pd6Pb, relaxed, DFT PBE
data_Mg2Pd6Pb
_cell_length_a 13.4287
_cell_length_b 6.2031
_cell_length_c 4.3208
_cell_angle_alpha 90.00
_cell_angle_beta 107.86
_cell_angle_gamma 90.00
_symmetry_space_group_name_H-M 'C 1 2/m 1'
_symmetry_Int_Tables_number 12
loop_
_symmetry_equiv_pos_as_xyz
'x,y,z'
'-x,-y,-z'
'-x,y,-z'
'x,-y,z'
'x+1/2,y+1/2,z'
'-x+1/2,-y+1/2,-z'
'-x+1/2,y+1/2,-z'
'x+1/2,-y+1/2,z'
loop_
_atom_site_label
_atom_site_fract_x
_atom_site_fract_y
_atom_site_fract_z
_atom_site_occupancy
Mg1 0.1722 0.0000 0.1700 1
Pd1 0.0000 0.2319 0.0000 1
Pd2 0.1696 0.2367 0.6678 1
Pb1 0.0000 0.5000 0.5000 1
# **Crystal system**: monoclinic
# **ΔE_f**: -0.203 eV/atom

=====

# 6
# SmCuI4, relaxed, DFT PBE
data_SmCuI4
_cell_length_a 17.2303
_cell_length_b 4.2432
_cell_length_c 7.6074
_cell_angle_alpha 90.00
_cell_angle_beta 115.11
_cell_angle_gamma 90.00
_symmetry_space_group_name_H-M 'C 1 2/m 1'
_symmetry_Int_Tables_number 12
loop_
_symmetry_equiv_pos_as_xyz
'x,y,z'
'-x,-y,-z'
'-x,y,-z'
'x,-y,z'
'x+1/2,y+1/2,z'
'-x+1/2,-y+1/2,-z'
'-x+1/2,y+1/2,-z'
'x+1/2,-y+1/2,z'
loop_
_atom_site_label
_atom_site_fract_x
_atom_site_fract_y
_atom_site_fract_z
_atom_site_occupancy
Sm1 0.0000 0.0000 0.0000 1
Cu1 0.0000 0.5000 0.5000 1
I1 0.0970 0.0000 0.4472 1
I2 0.1260 0.5000 0.9764 1
# **Crystal system**: monoclinic
# **Formation energy without anion corrections**: -888.0 meV per atom

=====

# 7
# TbTcIr, relaxed, DFT PBE
data_TbTcIr
_cell_length_a 6.7095
_cell_length_b 6.7095
_cell_length_c 4.4445
_cell_angle_alpha 90.00
_cell_angle_beta 90.00
_cell_angle_gamma 120.00
_symmetry_space_group_name_H-M 'P -6 2 m'
_symmetry_Int_Tables_number 189
_symmetry_space_group_name_Hall 'P -6 -2'
loop_
_atom_site_label
_atom_site_fract_x
_atom_site_fract_y
_atom_site_fract_z
_atom_site_occupancy
Tb1 0.0000 0.4190 0.0000 1
Tc1 0.0000 0.7652 0.5000 1
Ir1 0.0000 0.0000 0.0000 1
Ir2 0.3333 0.6667 0.5000 1
# **Crystal system**: hexagonal
# **ΔE_f**: -0.298 eV/atom

=====

# 8
# Zn2HgPb, relaxed, DFT PBE
data_Zn2HgPb
_cell_length_a 4.4817
_cell_length_b 5.2626
_cell_length_c 7.6322
_cell_angle_alpha 90.00
_cell_angle_beta 90.00
_cell_angle_gamma 90.00
_symmetry_space_group_name_H-M 'C m m m'
_symmetry_Int_Tables_number 65
_symmetry_space_group_name_Hall '-C 2 2'
loop_
_atom_site_label
_atom_site_fract_x
_atom_site_fract_y
_atom_site_fract_z
_atom_site_occupancy
Zn1 0.0000 0.0000 0.2232 1
Hg1 0.0000 0.5000 0.0000 1
Pb1 0.0000 0.5000 0.5000 1
# **Crystal system**: orthorhombic
# **ΔE_f**: 0.154 eV/atom
# **Offset from the most stable computed form**: 46 meV per atom

=====

# 9
# Ac3PmDy2Te6, relaxed, DFT PBE
data_Ac3PmDy2Te6
_cell_length_a 20.1368
_cell_length_b 4.4637
_cell_length_c 9.3272
_cell_angle_alpha 90.00
_cell_angle_beta 106.33
_cell_angle_gamma 90.00
_symmetry_space_group_name_H-M 'C 1 2/m 1'
_symmetry_Int_Tables_number 12
loop_
_symmetry_equiv_pos_as_xyz
'x,y,z'
'-x,-y,-z'
'-x,y,-z'
'x,-y,z'
'x+1/2,y+1/2,z'
'-x+1/2,-y+1/2,-z'
'-x+1/2,y+1/2,-z'
'x+1/2,-y+1/2,z'
loop_
_atom_site_label
_atom_site_fract_x
_atom_site_fract_y
_atom_site_fract_z
_atom_site_occupancy
Ac1 0.0000 0.0000 0.0000 1
Ac2 0.1639 0.5000 0.3314 1
Pm1 0.0000 0.0000 0.5000 1
Dy1 0.1657 0.5000 0.8310 1
Te1 0.0072 0.5000 0.7419 1
Te2 0.1643 0.0000 0.5996 1
Te3 0.1731 0.0000 0.0675 1
# **Crystal system**: monoclinic
# **Formation energy without anion corrections**: -1402.5 meV per atom

=====

# 10
# NiW2Au, relaxed, DFT PBE
data_NiW2Au
_cell_length_a 2.7887
_cell_length_b 2.7887
_cell_length_c 27.4433
_cell_angle_alpha 90.00
_cell_angle_beta 90.00
_cell_angle_gamma 120.00
_symmetry_space_group_name_H-M 'R -3 m'
_symmetry_Int_Tables_number 166
_symmetry_space_group_name_Hall '-R 3 2"'
loop_
_atom_site_label
_atom_site_fract_x
_atom_site_fract_y
_atom_site_fract_z
_atom_site_occupancy
Ni1 0.0000 0.0000 0.0000 1
W1 0.0000 0.0000 0.2560 1
Au1 0.0000 0.0000 0.5000 1
# **Crystal system**: trigonal
# **ΔE_f**: 0.362 eV/atom
# **Offset from the most stable computed form**: 194 meV per atom

=====

# 11
# Pu3ThGa8, relaxed, DFT PBE
data_Pu3ThGa8
_cell_length_a 5.5455
_cell_length_b 5.5455
_cell_length_c 27.1551
_cell_angle_alpha 90.00
_cell_angle_beta 90.00
_cell_angle_gamma 120.00
_symmetry_space_group_name_H-M 'R 3 m'
_symmetry_Int_Tables_number 160
_symmetry_space_group_name_Hall 'R 3 -2"'
loop_
_atom_site_label
_atom_site_fract_x
_atom_site_fract_y
_atom_site_fract_z
_atom_site_occupancy
Pu1 0.0000 0.0000 0.0000 1
Pu2 0.0000 0.0000 0.1215 1
Pu3 0.0000 0.0000 0.4942 1
Th1 0.0000 0.0000 0.6216 1
Ga1 0.0000 0.0000 0.3095 1
Ga2 0.0000 0.0000 0.8090 1
Ga3 0.0005 0.5003 0.0591 1
Ga4 0.0010 0.5005 0.5590 1
# **Crystal system**: trigonal
# **ΔE_f**: -0.418 eV/atom

=====

# 12
# Nd6Te3AsRh2, relaxed, DFT PBE
data_Nd6Te3AsRh2
_cell_length_a 7.4348
_cell_length_b 12.8816
_cell_length_c 7.8257
_cell_angle_alpha 90.00
_cell_angle_beta 108.73
_cell_angle_gamma 90.00
_symmetry_space_group_name_H-M 'C 1 2/m 1'
_symmetry_Int_Tables_number 12
loop_
_symmetry_equiv_pos_as_xyz
'x,y,z'
'-x,-y,-z'
'-x,y,-z'
'x,-y,z'
'x+1/2,y+1/2,z'
'-x+1/2,-y+1/2,-z'
'-x+1/2,y+1/2,-z'
'x+1/2,-y+1/2,z'
loop_
_atom_site_label
_atom_site_fract_x
_atom_site_fract_y
_atom_site_fract_z
_atom_site_occupancy
Nd1 0.2285 0.0000 0.2140 1
Nd2 0.2417 0.3282 0.2160 1
Te1 0.0000 0.0000 0.5000 1
Te2 0.0000 0.3374 0.5000 1
As1 0.0000 0.5000 0.0000 1
Rh1 0.0000 0.1674 0.0000 1
# **Crystal system**: monoclinic
# **Formation energy without anion corrections**: -1158.5 meV per atom